Computed, not measured: crystalline ZrTc at its relaxed geometry at the PBE level of DFT.

```
ZrTc
1.0
-4.9075 4.9075 1.6405
4.9075 -4.9075 1.6405
4.9075 4.9075 -1.6405
Zr Tc
4 4
direct
0.0000 0.3034 0.3034
0.0000 0.6966 0.6966
0.3034 0.0000 0.3034
0.6966 0.0000 0.6966
0.3301 0.3301 0.6603
0.3301 0.6699 0.0000
0.6699 0.3301 0.0000
0.6699 0.6699 0.3397
```

DOS(E_F) = 0.892 states/eV/atom
ΔH_f (0 K) = 0.3 eV/f.u.